# 1
# HfSi4Mo2 GGA-PBE optimized geometry
data_HfSi4Mo2
_chemical_formula_sum 'Hf2 Si8 Mo4'
_cell_length_a 4.799
_cell_length_b 4.799
_cell_length_c 12.684
_cell_angle_alpha 90.00
_cell_angle_beta 90.00
_cell_angle_gamma 90.00
_symmetry_space_group_name_H-M 'I 4/m m m'
_symmetry_Int_Tables_number 139
_symmetry_space_group_name_Hall '-I 4 2'
loop_
_atom_site_label
_atom_site_type_symbol
_atom_site_fract_x
_atom_site_fract_y
_atom_site_fract_z
_atom_site_occupancy
Hf1 Hf 0.000 0.000 0.000 1
Si1 Si 0.000 0.000 0.205 1
Si2 Si 0.000 0.500 0.000 1
Mo1 Mo 0.000 0.000 0.406 1
# * V: 20.86 Å³ per atom

***

# 2
# RbSrSnBr5 GGA-PBE optimized geometry
data_RbSrSnBr5
_chemical_formula_sum 'Rb4 Sr4 Sn4 Br20'
_cell_length_a 10.973
_cell_length_b 12.167
_cell_length_c 11.149
_cell_angle_alpha 90.00
_cell_angle_beta 113.87
_cell_angle_gamma 90.00
_symmetry_space_group_name_H-M 'C 1 2/c 1'
_symmetry_Int_Tables_number 15
loop_
_symmetry_equiv_pos_as_xyz
'x,y,z'
'-x,-y,-z'
'-x,y,-z+1/2'
'x,-y,z+1/2'
'x+1/2,y+1/2,z'
'-x+1/2,-y+1/2,-z'
'-x+1/2,y+1/2,-z+1/2'
'x+1/2,-y+1/2,z+1/2'
loop_
_atom_site_label
_atom_site_type_symbol
_atom_site_fract_x
_atom_site_fract_y
_atom_site_fract_z
_atom_site_occupancy
Rb1 Rb 0.000 0.078 0.250 1
Sr1 Sr 0.250 0.250 0.000 1
Sn1 Sn 0.000 0.493 0.250 1
Br1 Br 0.000 0.215 0.750 1
Br2 Br 0.029 0.332 0.088 1
Br3 Br 0.209 0.018 0.081 1
# * V: 42.54 Å³ per atom

***

no.,DOS(E_F) (states/eV per cell),raw total energy (eV for the cell shown),M_tot (μB per formula unit)
1,17.1,-95.493,0.00
2,0.0,-108.218,0.00